## Sr2TbGaS5 (PBE-GGA)

Data for crystalline Sr2TbGaS5 at its relaxed geometry.

Structure (POSCAR):
```
Sr2TbGaS5
1.0
1.980 -8.987 0.000
1.980 8.987 0.000
0.000 0.000 12.376
Sr Tb Ga S
4 2 2 10
Cartesian
1.980 6.900 6.188
1.980 6.745 1.755
1.980 -6.745 7.943
1.980 -6.900 0.000
1.980 5.249 10.452
1.980 -5.249 4.264
1.980 1.019 3.096
1.980 -1.019 9.284
1.980 8.179 10.582
1.980 3.713 6.103
1.980 3.251 2.335
1.980 2.612 10.198
1.980 0.034 7.313
1.980 -0.034 1.125
1.980 -2.612 4.010
1.980 -3.251 8.523
1.980 -3.713 12.291
1.980 -8.179 4.394
```

formation energy (no corrections): -1.743 eV per atom

## SrTbGaS4 (PBE-GGA)

Data for crystalline SrTbGaS4 at its relaxed geometry.

Structure (POSCAR):
```
SrTbGaS4
1.0
6.551 0.000 0.000
0.000 6.694 0.000
-2.364 0.000 7.710
Sr Tb Ga S
2 2 2 8
Cartesian
1.486 1.674 0.465
2.701 5.021 7.245
0.139 1.674 4.274
4.048 5.021 3.436
0.818 5.021 2.470
3.369 1.674 5.240
-1.711 3.386 5.625
-1.711 6.656 5.625
2.570 5.021 1.059
1.552 5.021 4.593
2.635 1.674 3.117
1.617 1.674 6.651
5.898 0.039 2.085
5.898 3.309 2.085
```

formation energy (no corrections): -1.575 eV per atom